LiY3As: relaxed, PBE.

Cell lengths 5.484, 5.484, 5.484 Å; angles 90.00, 90.00, 90.00 degrees
Fractional coordinates of all 5 atoms:
Li 0.000 0.000 0.000
Y 0.000 0.500 0.500
Y 0.500 0.000 0.500
Y 0.500 0.500 0.000
As 0.500 0.500 0.500

- Space-group type: No. 221
- Formation energy: -1.3 eV/f.u.
- Spin magnetization: 1.62 μB/f.u.
- Energy: -5.447 eV/atom

---

ZnOs: relaxed, PBE.

Cell lengths 7.809, 7.809, 4.189 Å; angles 90.00, 90.00, 120.00 degrees
Fractional coordinates of all 12 atoms:
Zn 0.199 0.397 0.250
Zn 0.199 0.801 0.250
Zn 0.397 0.199 0.750
Zn 0.603 0.801 0.250
Zn 0.801 0.199 0.750
Zn 0.801 0.603 0.750
Os 0.110 0.555 0.750
Os 0.445 0.555 0.750
Os 0.445 0.890 0.750
Os 0.555 0.110 0.250
Os 0.555 0.445 0.250
Os 0.890 0.445 0.250

- Space-group type: No. 194
- Formation energy: 0.6 eV/f.u.
- Spin magnetization: 0.00 μB/f.u.
- Energy: -5.964 eV/atom

---

TbYZn4: relaxed, PBE.

Cell lengths 5.472, 5.472, 5.472 Å; angles 60.00, 60.00, 60.00 degrees
Fractional coordinates of all 6 atoms:
Tb 0.000 0.000 0.000
Y 0.250 0.250 0.250
Zn 0.125 0.625 0.625
Zn 0.625 0.125 0.625
Zn 0.625 0.625 0.125
Zn 0.625 0.625 0.625

- Space-group type: No. 216
- Formation energy: -2.0 eV/f.u.
- Spin magnetization: 0.00 μB/f.u.
- Energy: -3.040 eV/atom

---

LaAsSeBr2: relaxed, PBE.

Cell lengths 5.690, 5.690, 6.301 Å; angles 90.00, 90.00, 90.00 degrees
Fractional coordinates of all 5 atoms:
La 0.000 0.000 0.000
As 0.000 0.000 0.500
Se 0.500 0.500 0.500
Br 0.000 0.500 0.000
Br 0.500 0.000 0.000

- Space-group type: No. 123
- Raw formation energy: -0.360 eV/atom
- Spin magnetization: 2.24 μB/f.u.
- Energy: -3.642 eV/atom

---

Ca2PdF: relaxed, PBE.

Cell lengths 4.935, 4.935, 4.935 Å; angles 60.00, 60.00, 60.00 degrees
Fractional coordinates of all 4 atoms:
Ca 0.250 0.250 0.250
Ca 0.750 0.750 0.750
Pd 0.000 0.000 0.000
F 0.500 0.500 0.500

- Space-group type: No. 225
- Raw formation energy: -1.308 eV/atom
- Spin magnetization: 0.00 μB/f.u.
- Energy: -4.075 eV/atom

---

SrPr2GeO5: relaxed, PBE.

Cell lengths 6.833, 6.833, 6.118 Å; angles 90.00, 90.00, 90.00 degrees
Fractional coordinates of all 18 atoms:
Sr 0.000 0.000 0.000
Sr 0.500 0.500 0.000
Pr 0.172 0.328 0.500
Pr 0.328 0.828 0.500
Pr 0.672 0.172 0.500
Pr 0.828 0.672 0.500
Ge 0.000 0.500 0.000
Ge 0.500 0.000 0.000
O 0.000 0.000 0.500
O 0.148 0.648 0.249
O 0.148 0.648 0.751
O 0.352 0.148 0.249
O 0.352 0.148 0.751
O 0.500 0.500 0.500
O 0.648 0.852 0.249
O 0.648 0.852 0.751
O 0.852 0.352 0.249
O 0.852 0.352 0.751

- Space-group type: No. 127
- Raw formation energy: -2.460 eV/atom
- Spin magnetization: 0.00 μB/f.u.
- Energy: -6.977 eV/atom

---

YHoCd2: relaxed, PBE.

Cell lengths 5.287, 5.287, 5.287 Å; angles 60.00, 60.00, 60.00 degrees
Fractional coordinates of all 4 atoms:
Y 0.000 0.000 0.000
Ho 0.500 0.500 0.500
Cd 0.250 0.250 0.250
Cd 0.750 0.750 0.750

- Space-group type: No. 225
- Formation energy: -1.4 eV/f.u.
- Spin magnetization: 0.00 μB/f.u.
- Energy: -3.557 eV/atom

---

SnAsSe2S: relaxed, PBE.

Cell lengths 5.200, 5.200, 5.479 Å; angles 90.00, 90.00, 90.00 degrees
Fractional coordinates of all 5 atoms:
Sn 0.000 0.000 0.000
As 0.000 0.000 0.500
Se 0.000 0.500 0.000
Se 0.500 0.000 0.000
S 0.500 0.500 0.500

- Space-group type: No. 123
- Raw formation energy: 0.953 eV/atom
- Spin magnetization: 0.83 μB/f.u.
- Energy: -2.997 eV/atom

---

RbPmY4Se8: relaxed, PBE.

Cell lengths 8.735, 8.735, 8.735 Å; angles 59.24, 59.24, 59.24 degrees
Fractional coordinates of all 14 atoms:
Rb 0.000 0.000 0.000
Pm 0.366 0.366 0.366
Y 0.367 0.367 0.885
Y 0.367 0.885 0.367
Y 0.746 0.746 0.746
Y 0.885 0.367 0.367
Se 0.134 0.134 0.570
Se 0.134 0.570 0.134
Se 0.140 0.140 0.140
Se 0.141 0.617 0.617
Se 0.570 0.134 0.134
Se 0.614 0.614 0.614
Se 0.617 0.141 0.617
Se 0.617 0.617 0.141

- Space-group type: No. 160
- Raw formation energy: -1.730 eV/atom
- Spin magnetization: 0.00 μB/f.u.
- Energy: -5.977 eV/atom

---

PmTmLuMg: relaxed, PBE.

Cell lengths 5.480, 5.480, 5.480 Å; angles 60.00, 60.00, 60.00 degrees
Fractional coordinates of all 4 atoms:
Pm 0.000 0.000 0.000
Tm 0.500 0.500 0.500
Lu 0.250 0.250 0.250
Mg 0.750 0.750 0.750

- Space-group type: No. 216
- Formation energy: 0.1 eV/f.u.
- Spin magnetization: 0.00 μB/f.u.
- Energy: -3.807 eV/atom

---

PmTh4S5: relaxed, PBE.

Cell lengths 6.998, 6.998, 6.998 Å; angles 99.59, 99.59, 131.83 degrees
Fractional coordinates of all 10 atoms:
Pm 0.000 0.000 0.000
Th 0.199 0.400 0.599
Th 0.400 0.801 0.201
Th 0.600 0.199 0.799
Th 0.801 0.600 0.401
S 0.100 0.702 0.802
S 0.298 0.100 0.398
S 0.500 0.500 0.000
S 0.702 0.900 0.602
S 0.900 0.298 0.198

- Space-group type: No. 87
- Raw formation energy: -1.874 eV/atom
- Spin magnetization: 0.00 μB/f.u.
- Energy: -7.381 eV/atom

---

LiSc2Te: relaxed, PBE.

Cell lengths 9.722, 9.722, 9.722 Å; angles 20.77, 20.77, 20.77 degrees
Fractional coordinates of all 4 atoms:
Li 0.000 0.000 0.000
Sc 0.236 0.236 0.236
Sc 0.481 0.481 0.481
Te 0.739 0.739 0.739

- Space-group type: No. 160
- Raw formation energy: -0.258 eV/atom
- Spin magnetization: 1.50 μB/f.u.
- Energy: -4.687 eV/atom

---

Pm3Y3Sc2: relaxed, PBE.

Cell lengths 8.895, 8.895, 5.682 Å; angles 107.15, 107.15, 35.91 degrees
Fractional coordinates of all 8 atoms:
Pm 0.000 0.000 0.000
Pm 0.141 0.141 0.688
Pm 0.859 0.859 0.312
Y 0.361 0.361 0.898
Y 0.500 0.500 0.500
Y 0.639 0.639 0.102
Sc 0.250 0.250 0.310
Sc 0.750 0.750 0.690

- Space-group type: No. 12
- Formation energy: 0.6 eV/f.u.
- Spin magnetization: 0.00 μB/f.u.
- Energy: -5.713 eV/atom

---

CaZr2InO: relaxed, PBE.

Cell lengths 4.532, 4.532, 4.770 Å; angles 90.00, 90.00, 90.00 degrees
Fractional coordinates of all 5 atoms:
Ca 0.000 0.000 0.000
Zr 0.000 0.500 0.500
Zr 0.500 0.000 0.500
In 0.500 0.500 0.000
O 0.000 0.000 0.500

- Space-group type: No. 123
- Raw formation energy: -1.117 eV/atom
- Spin magnetization: 0.00 μB/f.u.
- Energy: -6.476 eV/atom

---

SrYPdAu: relaxed, PBE.

Cell lengths 5.175, 5.175, 5.175 Å; angles 60.00, 60.00, 60.00 degrees
Fractional coordinates of all 4 atoms:
Sr 0.000 0.000 0.000
Y 0.500 0.500 0.500
Pd 0.750 0.750 0.750
Au 0.250 0.250 0.250

- Space-group type: No. 216
- Formation energy: -2.7 eV/f.u.
- Spin magnetization: 0.00 μB/f.u.
- Energy: -4.829 eV/atom

---

KMg2Pd2: relaxed, PBE.

Cell lengths 6.526, 6.526, 6.526 Å; angles 139.58, 139.58, 58.49 degrees
Fractional coordinates of all 5 atoms:
K 0.000 0.000 0.000
Mg 0.250 0.750 0.500
Mg 0.750 0.250 0.500
Pd 0.380 0.380 0.000
Pd 0.620 0.620 0.000

- Space-group type: No. 139
- Formation energy: -1.5 eV/f.u.
- Spin magnetization: 0.00 μB/f.u.
- Energy: -3.227 eV/atom

---

ScTaZn2: relaxed, PBE.

Cell lengths 5.531, 5.531, 4.799 Å; angles 115.49, 115.49, 31.59 degrees
Fractional coordinates of all 4 atoms:
Sc 0.000 0.000 0.000
Ta 0.231 0.231 0.724
Zn 0.474 0.474 0.476
Zn 0.758 0.758 0.249

- Space-group type: No. 8
- Formation energy: -0.2 eV/f.u.
- Spin magnetization: 0.00 μB/f.u.
- Energy: -5.221 eV/atom

---

SiSnPd4: relaxed, PBE.

Cell lengths 7.678, 5.713, 4.587 Å; angles 90.00, 93.20, 90.00 degrees
Fractional coordinates of all 12 atoms:
Si 0.000 0.000 0.000
Si 0.000 0.500 0.500
Sn 0.500 0.000 0.500
Sn 0.500 0.500 0.000
Pd 0.152 0.117 0.473
Pd 0.152 0.383 0.973
Pd 0.307 0.595 0.484
Pd 0.307 0.905 0.984
Pd 0.693 0.095 0.016
Pd 0.693 0.405 0.516
Pd 0.848 0.617 0.027
Pd 0.848 0.883 0.527

- Space-group type: No. 14
- Raw formation energy: -0.487 eV/atom
- Spin magnetization: 0.00 μB/f.u.
- Energy: -5.519 eV/atom

---

Sr3ErTh2Bi6: relaxed, PBE.

Cell lengths 8.068, 8.068, 8.280 Å; angles 99.36, 99.36, 120.04 degrees
Fractional coordinates of all 12 atoms:
Sr 0.000 0.000 0.000
Sr 0.331 0.669 0.000
Sr 0.669 0.331 0.000
Er 0.500 0.500 0.500
Th 0.166 0.834 0.500
Th 0.834 0.166 0.500
Bi 0.095 0.424 0.271
Bi 0.249 0.249 0.731
Bi 0.424 0.095 0.271
Bi 0.576 0.905 0.729
Bi 0.751 0.751 0.269
Bi 0.905 0.576 0.729

- Space-group type: No. 12
- Formation energy: -9.3 eV/f.u.
- Spin magnetization: 0.00 μB/f.u.
- Energy: -4.749 eV/atom

---

Tm3Pd5Se12: relaxed, PBE.

Cell lengths 13.564, 13.564, 13.564 Å; angles 109.47, 109.47, 109.47 degrees
Fractional coordinates of all 80 atoms:
Tm 0.125 0.250 0.375
Tm 0.125 0.375 0.750
Tm 0.250 0.375 0.125
Tm 0.250 0.875 0.625
Tm 0.375 0.125 0.250
Tm 0.375 0.750 0.125
Tm 0.625 0.250 0.875
Tm 0.625 0.875 0.750
Tm 0.750 0.125 0.375
Tm 0.750 0.625 0.875
Tm 0.875 0.625 0.250
Tm 0.875 0.750 0.625
Pd 0.000 0.000 0.000
Pd 0.000 0.000 0.500
Pd 0.000 0.500 0.000
Pd 0.000 0.500 0.500
Pd 0.125 0.750 0.875
Pd 0.125 0.875 0.250
Pd 0.250 0.125 0.875
Pd 0.250 0.625 0.375
Pd 0.375 0.250 0.625
Pd 0.375 0.625 0.750
Pd 0.500 0.000 0.000
Pd 0.500 0.000 0.500
Pd 0.500 0.500 0.000
Pd 0.500 0.500 0.500
Pd 0.625 0.375 0.250
Pd 0.625 0.750 0.375
Pd 0.750 0.375 0.625
Pd 0.750 0.875 0.125
Pd 0.875 0.125 0.750
Pd 0.875 0.250 0.125
Se 0.041 0.210 0.130
Se 0.041 0.331 0.911
Se 0.080 0.710 0.669
Se 0.080 0.870 0.411
Se 0.089 0.630 0.420
Se 0.089 0.959 0.669
Se 0.130 0.041 0.210
Se 0.130 0.589 0.920
Se 0.169 0.210 0.580
Se 0.169 0.459 0.589
Se 0.210 0.130 0.041
Se 0.210 0.580 0.169
Se 0.290 0.331 0.920
Se 0.290 0.459 0.370
Se 0.331 0.911 0.041
Se 0.331 0.920 0.290
Se 0.370 0.290 0.459
Se 0.370 0.580 0.911
Se 0.411 0.080 0.870
Se 0.411 0.831 0.541
Se 0.420 0.089 0.630
Se 0.420 0.831 0.790
Se 0.459 0.370 0.290
Se 0.459 0.589 0.169
Se 0.541 0.411 0.831
Se 0.541 0.630 0.710
Se 0.580 0.169 0.210
Se 0.580 0.911 0.370
Se 0.589 0.169 0.459
Se 0.589 0.920 0.130
Se 0.630 0.420 0.089
Se 0.630 0.710 0.541
Se 0.669 0.080 0.710
Se 0.669 0.089 0.959
Se 0.710 0.541 0.630
Se 0.710 0.669 0.080
Se 0.790 0.420 0.831
Se 0.790 0.870 0.959
Se 0.831 0.541 0.411
Se 0.831 0.790 0.420
Se 0.870 0.411 0.080
Se 0.870 0.959 0.790
Se 0.911 0.041 0.331
Se 0.911 0.370 0.580
Se 0.920 0.130 0.589
Se 0.920 0.290 0.331
Se 0.959 0.669 0.089
Se 0.959 0.790 0.870

- Space-group type: No. 230
- Raw formation energy: -0.704 eV/atom
- Spin magnetization: 0.00 μB/f.u.
- Energy: -4.764 eV/atom